No. 1
{"formula": "Zr2ScSb", "functional": "PBE", "state": "optimized geometry", "cell": [[-1.417, -2.357, 1.710], [1.869, 0.722, 2.545], [-6.175, 5.807, 2.887]], "species": ["Sb", "Sc", "Zr", "Zr"], "frac_coords": [[0.500, 0.500, 0.250], [0.500, 0.500, 0.750], [0.000, 0.000, 0.009], [0.000, 0.000, 0.491]], "e_form_raw_ev_per_atom": -0.14, "space_group": "P4/mmm, No. 123"}

=====

No. 2
{"formula": "NbTc2Pt2", "functional": "PBE", "state": "optimized geometry", "cell": [[7.717, 0.000, 0.000], [0.000, 7.717, 0.000], [0.000, 0.000, 2.723]], "species": ["Tc", "Tc", "Tc", "Tc", "Pt", "Pt", "Pt", "Pt", "Nb", "Nb"], "frac_coords": [[0.176, 0.676, 0.500], [0.676, 0.824, 0.500], [0.824, 0.324, 0.500], [0.324, 0.176, 0.500], [0.377, 0.877, 0.000], [0.623, 0.123, 0.000], [0.123, 0.377, 0.000], [0.877, 0.623, 0.000], [0.000, 0.000, 0.000], [0.500, 0.500, 0.000]], "formation_enthalpy_0k_ev_per_atom": -0.022, "space_group": "P4/mbm, No. 127"}